DFT (PBE+U) results for a geometry-optimized Zr2TiVF structure.

Properties
As for the crystal system: tetragonal. The calculation puts the total energy at -7.161 eV/atom. The value obtained for the total magnetic moment is 2.019 μB/cell.

abc: 4.6656 4.6656 4.1126
angles: 90.00 90.00 90.00
Closest atoms and distances in Å follow each position.
Sites, in units of the cell vectors:
Zr (0.0000, 0.5000, 0.0000)  2 F 2.33
Zr (0.5000, 0.0000, 0.0000)  2 F 2.33
Ti (0.0000, 0.0000, 0.5000)  8 Zr 3.11, 4 V 3.30
V (0.5000, 0.5000, 0.5000)  2 F 2.06
F (0.5000, 0.5000, 0.0000)  2 V 2.06